DFT (GGA-PBE) results for crystalline HfTlTe2 at its relaxed geometry.

Lattice parameters (Å, degrees): 7.573 7.573 11.913 90.00 90.00 90.00
Space group I-42d (No. 122)
Unique sites:
Hf1 0.000 0.000 0.000
Tl1 0.000 0.000 0.500
Te1 0.181 0.250 0.125

## Properties
Calculated volume: 683.2 Å³ per cell
VASP energy: -4.892 eV/atom
Total magnetic moment: 0.233 μB/atom
ΔE_f (raw): -0.966 eV per formula unit



DFT (GGA-PBE) results for crystalline ZrPa2VN6 at its relaxed geometry.

Lattice parameters (Å, degrees): 5.6486 5.6486 14.1802 90.00 90.00 120.00
Space group R3 (No. 146, hexagonal axes)
Unique sites:
Zr1 0.0000 0.0000 0.0000
Pa1 0.0000 0.0000 0.2756
Pa2 0.0000 0.0000 0.7741
V1 0.0000 0.0000 0.4967
N1 0.0602 0.3377 0.5561
N2 0.0650 0.6948 0.0594

## Properties
Calculated volume: 391.8 Å³ per cell
VASP energy: -9.988 eV/atom
Total magnetic moment: 0.104 μB/atom
ΔE_f (raw): -13.265 eV per formula unit



DFT (GGA-PBE) results for crystalline Nd7Dy4Pu at its relaxed geometry.

Lattice parameters (Å, degrees): 11.395 5.539 13.304 90.00 105.42 90.00
Space group C2/m (No. 12)
Unique sites:
Nd1 0.000 0.000 0.000
Nd2 0.140 0.000 0.469
Nd3 0.162 0.500 0.258
Nd4 0.221 0.500 0.896
Dy1 0.044 0.000 0.777
Dy2 0.089 0.500 0.627
Pu1 0.000 0.500 0.000

## Properties
Calculated volume: 809.4 Å³ per cell
ΔE_f: 0.22 eV per atom
VASP energy: -5.290 eV/atom
Total magnetic moment: 0.495 μB/atom



DFT (GGA-PBE) results for crystalline CrCu3Au at its relaxed geometry.

Lattice parameters (Å, degrees): 4.736 4.736 4.736 90.00 90.00 90.00
Space group Pm-3m (No. 221)
Unique sites:
Cr1 0.000 0.000 0.000
Cu1 0.000 0.500 0.500
Au1 0.500 0.500 0.500

## Properties
Calculated volume: 106.2 Å³ per cell
ΔE_f: 1.01 eV per atom
Offset from the most stable computed form: 0 meV per atom
VASP energy: -4.026 eV/atom
Total magnetic moment: 0.943 μB/atom



DFT (GGA-PBE) results for crystalline CaC8N6 at its relaxed geometry.

Lattice parameters (Å, degrees): 8.143 5.613 11.216 90.00 90.00 90.00
Space group Pmna (No. 53)
Unique sites:
Ca1 0.000 0.000 0.000
C1 0.000 0.405 0.254
C2 0.000 0.411 0.661
C3 0.148 0.313 0.620
N1 0.000 0.253 0.182
N2 0.230 0.228 0.916

## Properties
Calculated volume: 512.6 Å³ per cell
VASP energy: -8.268 eV/atom
Total magnetic moment: 0.000 μB/atom
ΔE_f (raw): 1.721 eV per formula unit



DFT (GGA-PBE) results for crystalline ScBeIn3 at its relaxed geometry.

Lattice parameters (Å, degrees): 5.637 5.637 5.637 90.00 90.00 90.00
Space group Pm-3m (No. 221)
Unique sites:
Sc1 0.000 0.000 0.000
Be1 0.500 0.500 0.500
In1 0.000 0.000 0.500

## Properties
Calculated volume: 179.1 Å³ per cell
ΔE_f: 1.04 eV per atom
Offset from the most stable computed form: 769 meV per atom
VASP energy: -2.613 eV/atom
Total magnetic moment: 0.000 μB/atom



DFT (GGA-PBE) results for crystalline Dy8ErSc4 at its relaxed geometry.

Lattice parameters (Å, degrees): 7.0227 7.0227 27.1159 90.00 90.00 120.00
Space group R-3m (No. 166, hexagonal axes)
Unique sites:
Dy1 0.0000 0.0000 0.2162
Dy2 0.0222 0.5111 0.7650
Er1 0.0000 0.0000 0.0000
Sc1 0.0000 0.0000 0.5000
Sc2 0.0000 0.5000 0.0000

## Properties
Calculated volume: 1158.1 Å³ per cell
ΔE_f: 0.24 eV per atom
Offset from the most stable computed form: 0 meV per atom
VASP energy: -4.893 eV/atom
Total magnetic moment: 0.000 μB/atom



DFT (GGA-PBE) results for crystalline K2UTiO6 at its relaxed geometry.

Lattice parameters (Å, degrees): 8.207 8.207 8.207 90.00 90.00 90.00
Space group Fm-3m (No. 225)
Unique sites:
K1 0.250 0.250 0.250
U1 0.000 0.000 0.000
Ti1 0.000 0.000 0.500
O1 0.000 0.000 0.256

## Properties
Calculated volume: 552.8 Å³ per cell
VASP energy: -7.869 eV/atom
Total magnetic moment: 0.000 μB/atom
ΔE_f (raw): -27.558 eV per formula unit



Please write out number 2 again, unchanged.
DFT (GGA-PBE) results for crystalline ZrPa2VN6 at its relaxed geometry.

Lattice parameters (Å, degrees): 5.6486 5.6486 14.1802 90.00 90.00 120.00
Space group R3 (No. 146, hexagonal axes)
Unique sites:
Zr1 0.0000 0.0000 0.0000
Pa1 0.0000 0.0000 0.2756
Pa2 0.0000 0.0000 0.7741
V1 0.0000 0.0000 0.4967
N1 0.0602 0.3377 0.5561
N2 0.0650 0.6948 0.0594

## Properties
Calculated volume: 391.8 Å³ per cell
VASP energy: -9.988 eV/atom
Total magnetic moment: 0.104 μB/atom
ΔE_f (raw): -13.265 eV per formula unit



Among the records above, which one has the highest calculated volume?
Dy8ErSc4



The highest VASP energy belongs to which entry?
ScBeIn3



total magnetic moment of number 3 (Nd7Dy4Pu)?
0.495 μB/atom